one) First-principles (PBE) data for a relaxed Y3ZnCo crystal, as listed in Alexandria via LeMat-Bulk.

Output
* space group: No. 12
* mass density: 5396 kg/m3

POSCAR file:
```
Y3ZnCo
1.0
-0.4443 5.0454 2.9963
2.3117 0.0144 5.4118
7.4986 4.2470 0.2899
Y Zn Co
6 2 2
Direct
0.3122 0.3122 0.8686 Y
0.6878 0.6878 0.1314 Y
0.0208 0.0208 0.7725 Y
0.9792 0.9792 0.2275 Y
0.7031 0.7031 0.6757 Y
0.2969 0.2969 0.3243 Y
0.7064 0.2936 0.5000 Zn
0.2936 0.7064 0.5000 Zn
0.3127 0.6873 0.0000 Co
0.6873 0.3127 0.0000 Co
```

two) First-principles (PBE) data for a relaxed Y3ZnCo crystal, as listed in Alexandria via LeMat-Bulk.

Output
* space group: No. 2
* mass density: 5385 kg/m3

POSCAR file:
```
Y3ZnCo
1.0
0.2223 3.7025 4.1350
3.3378 -5.1806 0.8691
3.9860 6.5115 -4.0223
Y Zn Co
6 2 2
Direct
0.4737 0.8002 0.1299 Y
0.1687 0.3689 0.6733 Y
0.8697 0.7990 0.7726 Y
0.1303 0.2010 0.2274 Y
0.5263 0.1998 0.8701 Y
0.8313 0.6311 0.3267 Y
0.6487 0.2248 0.4942 Zn
0.3513 0.7752 0.5058 Zn
0.9614 0.6771 0.0137 Co
0.0386 0.3229 0.9863 Co
```

three) First-principles (PBE) data for a relaxed Y3ZnCo crystal, as listed in Alexandria via LeMat-Bulk.

Output
* space group: No. 221
* mass density: 4744 kg/m3

POSCAR file:
```
Y3ZnCo
1.0
-1.0719 -4.5525 -2.1647
2.3824 -2.4078 3.8842
-4.4425 -0.1928 2.6053
Y Zn Co
3 1 1
Direct
0.0000 0.5000 0.0000 Y
0.0000 0.0000 0.5000 Y
0.5000 0.0000 0.0000 Y
0.5000 0.5000 0.5000 Zn
0.0000 0.0000 0.0000 Co
```

So which one is most stable? That would be two), about 0.9 kJ/mol of atoms below the next structure.